The following is a PBE-GGA calculation of BaAlFe2 after structural relaxation, from the Alexandria database.

## Properties
Formation energy   0.348 eV per atom
Space group   P4/mmm
Total energy   -5.299 eV per atom

Lattice parameters (Å, degrees): 3.370 3.370 7.063 90.00 90.00 90.00
Element x y z (fractional)
Ba (0.000, 0.000, 0.000)
Al (0.000, 0.000, 0.500)
Fe (0.500, 0.500, 0.346)
Fe (0.500, 0.500, 0.654)

---

The following is a PBE-GGA calculation of BaAlFe2 after structural relaxation, from the Alexandria database.

## Properties
Formation energy   0.289 eV per atom
Space group   P4mm
Total energy   -5.358 eV per atom

Lattice parameters (Å, degrees): 3.198 3.198 7.745 90.00 90.00 90.00
Element x y z (fractional)
Ba (0.000, 0.000, 0.000)
Al (0.500, 0.500, 0.651)
Fe (0.000, 0.000, 0.466)
Fe (0.500, 0.500, 0.331)

---

The following is a PBE-GGA calculation of BaAlFe after structural relaxation, from the Alexandria database.

## Properties
Formation energy   0.278 eV per atom
Space group   I4mm
Total energy   -4.431 eV per atom

Lattice parameters (Å, degrees): 6.502 6.502 6.502 149.09 149.09 44.28
Element x y z (fractional)
Ba (0.000, 0.000, 0.000)
Al (0.729, 0.729, 0.000)
Fe (0.282, 0.282, 0.000)

---

The following is a PBE-GGA calculation of BaAl2Fe after structural relaxation, from the Alexandria database.

## Properties
Formation energy   0.588 eV per atom
Space group   P4/mmm
Total energy   -3.880 eV per atom

Lattice parameters (Å, degrees): 4.323 4.323 5.026 90.00 90.00 90.00
Element x y z (fractional)
Ba (0.000, 0.000, 0.000)
Al (0.000, 0.500, 0.500)
Al (0.500, 0.000, 0.500)
Fe (0.500, 0.500, 0.000)

---

The following is a PBE-GGA calculation of BaAl2Fe after structural relaxation, from the Alexandria database.

## Properties
Formation energy   -0.029 eV per atom
Space group   R-3m
Total energy   -4.497 eV per atom

Lattice parameters (Å, degrees): 6.586 6.586 6.586 37.89 37.89 37.89
Element x y z (fractional)
Ba (0.000, 0.000, 0.000)
Al (0.193, 0.193, 0.193)
Al (0.807, 0.807, 0.807)
Fe (0.500, 0.500, 0.500)

---

The following is a PBE-GGA calculation of BaAl2Fe after structural relaxation, from the Alexandria database.

## Properties
Formation energy   -0.013 eV per atom
Space group   R3m
Total energy   -4.480 eV per atom

Lattice parameters (Å, degrees): 6.503 6.503 6.503 39.20 39.20 39.20
Element x y z (fractional)
Ba (0.000, 0.000, 0.000)
Al (0.189, 0.189, 0.189)
Al (0.486, 0.486, 0.486)
Fe (0.817, 0.817, 0.817)

---

The following is a PBE-GGA calculation of BaAl2Fe after structural relaxation, from the Alexandria database.

## Properties
Formation energy   0.137 eV per atom
Space group   Imm2
Total energy   -4.331 eV per atom

Lattice parameters (Å, degrees): 7.567 7.567 7.567 156.60 148.98 39.22
Element x y z (fractional)
Ba (0.000, 0.000, 0.000)
Al (0.337, 0.337, 0.000)
Al (0.705, 0.205, 0.500)
Fe (0.208, 0.708, 0.500)

---

The following is a PBE-GGA calculation of BaAlFe2 after structural relaxation, from the Alexandria database.

## Properties
Formation energy   0.827 eV per atom
Space group   I-4m2
Total energy   -4.820 eV per atom

Lattice parameters (Å, degrees): 4.880 4.880 4.880 117.71 117.71 94.02
Element x y z (fractional)
Ba (0.000, 0.000, 0.000)
Al (0.250, 0.750, 0.500)
Fe (0.500, 0.500, 0.000)
Fe (0.750, 0.250, 0.500)

---

The following is a PBE-GGA calculation of BaAlFe after structural relaxation, from the Alexandria database.

## Properties
Formation energy   0.335 eV per atom
Space group   P-6m2
Total energy   -4.374 eV per atom

Lattice parameters (Å, degrees): 4.390 4.390 5.068 90.00 90.00 120.00
Element x y z (fractional)
Ba (0.000, 0.000, 0.000)
Al (0.333, 0.667, 0.500)
Fe (0.667, 0.333, 0.500)

---

The following is a PBE-GGA calculation of BaAl3Fe after structural relaxation, from the Alexandria database.

## Properties
Formation energy   2.025 eV per atom
Space group   Pm-3m
Total energy   -2.297 eV per atom

Lattice parameters (Å, degrees): 5.841 5.841 5.841 90.00 90.00 90.00
Element x y z (fractional)
Ba (0.000, 0.000, 0.000)
Al (0.000, 0.000, 0.500)
Al (0.000, 0.500, 0.000)
Al (0.500, 0.000, 0.000)
Fe (0.500, 0.500, 0.500)

---

The following is a PBE-GGA calculation of BaAlFe2 after structural relaxation, from the Alexandria database.

## Properties
Formation energy   0.835 eV per atom
Space group   P4/mmm
Total energy   -4.813 eV per atom

Lattice parameters (Å, degrees): 4.830 4.830 3.312 90.00 90.00 90.00
Element x y z (fractional)
Ba (0.000, 0.000, 0.000)
Al (0.500, 0.500, 0.000)
Fe (0.000, 0.500, 0.500)
Fe (0.500, 0.000, 0.500)

---

The following is a PBE-GGA calculation of BaAl2Fe after structural relaxation, from the Alexandria database.

## Properties
Formation energy   0.196 eV per atom
Space group   Pmm2
Total energy   -4.271 eV per atom

Lattice parameters (Å, degrees): 3.246 3.497 7.751 90.00 90.00 90.00
Element x y z (fractional)
Ba (0.000, 0.000, 0.000)
Al (0.000, 0.000, 0.431)
Al (0.500, 0.500, 0.653)
Fe (0.500, 0.500, 0.333)

---

What did the sixth record say?
The following is a PBE-GGA calculation of BaAl2Fe after structural relaxation, from the Alexandria database.

## Properties
Formation energy   -0.013 eV per atom
Space group   R3m
Total energy   -4.480 eV per atom

Lattice parameters (Å, degrees): 6.503 6.503 6.503 39.20 39.20 39.20
Element x y z (fractional)
Ba (0.000, 0.000, 0.000)
Al (0.189, 0.189, 0.189)
Al (0.486, 0.486, 0.486)
Fe (0.817, 0.817, 0.817)